Below is an optimized crystal structure of BeCrPO2, with properties calculated at the GGA+U level.

Properties
SG: P4/mmm, No. 123
DFT total energy: -5.60 eV/atom
Excess energy over the best structure of this formula in the dataset: 0.23 eV per formula unit

Cell and atoms, written as POSCAR:
```
BeCrPO2
1.0
-2.117 0.896 2.731
-2.702 -1.777 -1.511
1.453 -4.392 2.567
Cr Be O P
1 1 2 1
Cartesian
0.000 0.000 0.000
-1.683 -2.636 1.894
-1.351 -0.889 -0.756
-1.058 0.448 1.366
0.726 -2.196 1.284
```